No. 1
Density functional theory data (SCAN) for MgSiAs2 at its PBEsol-relaxed geometry.

The structure in POSCAR format:
```
MgSiAs2
1.0
-1.692 1.859 6.042
1.692 -1.859 6.042
1.692 1.859 -6.042
Mg Si As
1 1 2
Direct
0.000 0.000 0.000 Mg
0.248 0.748 0.500 Si
0.402 0.402 0.000 As
0.673 0.173 0.500 As
```

DOS at the Fermi energy (states/eV/f.u.): 1.1
E (Ry/atom): -1.013
ρ (Mg/m³): 4.418
E above lowest polymorph (meV/atom): 460.9
Formation energy (no corrections) (eV/atom): 0.06


No. 2
Density functional theory data (SCAN) for Ba2La2NiW2O12 at its PBEsol-relaxed geometry.

The structure in POSCAR format:
```
Ba2La2NiW2O12
1.0
2.806 1.620 9.083
-2.806 1.620 9.083
0.000 -3.240 9.083
Ba La Ni W O
2 2 1 2 12
Direct
0.133 0.133 0.133 Ba
0.867 0.867 0.867 Ba
0.294 0.294 0.294 La
0.706 0.706 0.706 La
0.000 0.000 0.000 Ni
0.418 0.418 0.418 W
0.582 0.582 0.582 W
0.116 0.618 0.618 O
0.214 0.214 0.684 O
0.214 0.684 0.214 O
0.316 0.786 0.786 O
0.382 0.382 0.884 O
0.382 0.884 0.382 O
0.618 0.116 0.618 O
0.618 0.618 0.116 O
0.684 0.214 0.214 O
0.786 0.316 0.786 O
0.786 0.786 0.316 O
0.884 0.382 0.382 O
```

DOS at the Fermi energy (states/eV/f.u.): 0.0
E (Ry/atom): -1.744
ρ (Mg/m³): 7.848
Formation energy (no corrections) (eV/atom): -2.91


No. 3
Density functional theory data (SCAN) for Li3Al2FeO6 at its PBEsol-relaxed geometry.

The structure in POSCAR format:
```
Li3Al2FeO6
1.0
2.429 -4.206 0.000
2.429 4.206 0.000
-1.619 0.000 4.702
Li Al Fe O
3 2 1 6
Direct
0.000 0.000 0.000 Li
0.338 0.662 0.000 Li
0.662 0.338 0.000 Li
0.167 0.833 0.500 Al
0.833 0.167 0.500 Al
0.500 0.500 0.500 Fe
0.090 0.427 0.282 O
0.235 0.235 0.719 O
0.427 0.090 0.282 O
0.573 0.910 0.718 O
0.765 0.765 0.281 O
0.910 0.573 0.718 O
```

DOS at the Fermi energy (states/eV/f.u.): 0.0
E (Ry/atom): -0.674
ρ (Mg/m³): 3.916
Formation energy (no corrections) (eV/atom): -2.65